Here is an optimized crystal structure of CaMoN3 from Alexandria. Energies are from GGA-PBE.

- formation energy from raw total energies (eV per atom) = 0.134
- V (Å³ per atom) = 11.035

Lattice parameters (Å, degrees): 3.9306 3.9306 8.2475 90.00 90.00 120.00
Space group P6_3/mmc (No. 194)
Inequivalent atoms, fractional coordinates:
Ca  0.3333  0.6667  0.2500 (multiplicity 2)
Mo  0.0000  0.0000  0.0000 (multiplicity 2)
N  0.0000  0.0000  0.2500 (multiplicity 2)
N  0.3333  0.6667  0.5349 (multiplicity 4)

---

Here is an optimized crystal structure of AcDy4ErTm2 from Alexandria. Energies are from GGA-PBE.

- ΔE_f (kJ/mol of atoms) = 4
- V (Å³ per atom) = 32.414

Lattice parameters (Å, degrees): 5.041 5.067 10.152 90.00 90.00 90.00
Space group Pmmm (No. 47)
Inequivalent atoms, fractional coordinates:
Ac  0.000  0.000  0.000 (multiplicity 1)
Dy  0.000  0.500  0.259 (multiplicity 2)
Dy  0.500  0.000  0.260 (multiplicity 2)
Er  0.500  0.500  0.500 (multiplicity 1)
Tm  0.000  0.000  0.500 (multiplicity 1)
Tm  0.500  0.500  0.000 (multiplicity 1)